[1]
The following is a DFT calculation (PBE) of an optimized crystal structure of CsGa3Rh.

As for the formation energy: 1.849 eV/atom. As for the space group: Pm-3m, No. 221.

Lattice parameters (Å, degrees): 5.7455 5.7455 5.7455 90.00 90.00 90.00
Fractional positions:
Cs (0.0000, 0.0000, 0.0000)
Rh (0.5000, 0.5000, 0.5000)
Ga (0.0000, 0.5000, 0.0000)
Ga (0.0000, 0.0000, 0.5000)
Ga (0.5000, 0.0000, 0.0000)


[2]
The following is a DFT calculation (PBE) of an optimized crystal structure of Ac2CeSnPd6.

As for the formation energy: -0.251 eV/atom. As for the space group: Fm-3m, No. 225.

Lattice parameters (Å, degrees): 7.2166 7.2166 7.2166 60.00 60.00 90.00
Fractional positions:
Ac (0.2500, 0.7500, 0.5000)
Ac (0.7500, 0.2500, 0.5000)
Ce (0.5000, 0.5000, 0.0000)
Sn (0.0000, 0.0000, 0.0000)
Pd (0.2503, 0.7497, 0.0000)
Pd (0.7497, 0.7497, 0.0000)
Pd (0.2503, 0.2503, 0.4995)
Pd (0.7497, 0.2503, 0.0000)
Pd (0.2503, 0.2503, 0.0000)
Pd (0.7497, 0.7497, 0.5005)


[3]
The following is a DFT calculation (PBE) of an optimized crystal structure of LiOs3Cl.

The formation energy without anion corrections comes out at 2.283 eV per atom. As for the space group: Pm-3m, No. 221.

Lattice parameters (Å, degrees): 4.2401 4.2401 4.2401 90.00 90.00 90.00
Fractional positions:
Li (0.0000, 0.0000, 0.0000)
Os (0.0000, 0.5000, 0.0000)
Os (0.0000, 0.0000, 0.5000)
Os (0.5000, 0.0000, 0.0000)
Cl (0.5000, 0.5000, 0.5000)


[4]
The following is a DFT calculation (PBE) of an optimized crystal structure of FeCoRh2.

As for the formation energy: 0.045 eV/atom. As for the space group: P4mm, No. 99.

Lattice parameters (Å, degrees): 2.6952 2.6952 7.1094 90.00 90.00 90.00
Fractional positions:
Co (0.0000, 0.0000, 0.5112)
Rh (0.0000, 0.0000, 0.9895)
Rh (0.5000, 0.5000, 0.2642)
Fe (0.5000, 0.5000, 0.7352)


[5]
The following is a DFT calculation (PBE) of an optimized crystal structure of SrFeBr.

The formation energy without anion corrections comes out at 0.005 eV per atom. As for the space group: P3m1, No. 156.

Lattice parameters (Å, degrees): 3.9614 3.9614 6.3921 90.00 90.00 120.00
Fractional positions:
Br (0.0000, 0.0000, 0.0139)
Fe (0.6667, 0.3333, 0.3144)
Sr (0.3333, 0.6667, 0.6716)


[6]
The following is a DFT calculation (PBE) of an optimized crystal structure of LuPuMgRu.

As for the formation energy: -0.051 eV/atom. As for the space group: F-43m, No. 216.

Lattice parameters (Å, degrees): 4.9518 4.9518 4.9518 60.00 60.00 60.00
Fractional positions:
Ru (0.7500, 0.7500, 0.7500)
Mg (0.2500, 0.2500, 0.2500)
Lu (0.0000, 0.0000, 0.0000)
Pu (0.5000, 0.5000, 0.5000)


[7]
The following is a DFT calculation (PBE) of an optimized crystal structure of La6PrHo8.

As for the formation energy: 0.118 eV/atom. As for the space group: R-3, No. 148.

Lattice parameters (Å, degrees): 9.1210 9.1210 8.8406 58.94 58.94 60.00
Fractional positions:
La (0.4665, 0.9063, 0.8607)
La (0.0937, 0.2335, 0.1393)
La (0.2335, 0.5335, 0.1393)
La (0.7665, 0.4665, 0.8607)
La (0.9063, 0.7665, 0.8607)
La (0.5335, 0.0937, 0.1393)
Pr (0.0000, 0.0000, 0.0000)
Ho (0.2376, 0.2958, 0.5806)
Ho (0.7042, 0.1140, 0.4194)
Ho (0.1140, 0.7624, 0.4194)
Ho (0.5765, 0.5765, 0.2705)
Ho (0.4235, 0.4235, 0.7295)
Ho (0.8860, 0.2376, 0.5806)
Ho (0.2958, 0.8860, 0.5806)
Ho (0.7624, 0.7042, 0.4194)


[8]
The following is a DFT calculation (PBE) of an optimized crystal structure of CoRePb.

As for the formation energy: 0.786 eV/atom. As for the space group: P3m1, No. 156.

Lattice parameters (Å, degrees): 2.9740 2.9740 6.6963 90.00 90.00 120.00
Fractional positions:
Co (0.0000, 0.0000, 0.9729)
Pb (0.6667, 0.3333, 0.3218)
Re (0.3333, 0.6667, 0.7052)


[9]
The following is a DFT calculation (PBE) of an optimized crystal structure of Mg8Tl3Cd2.

As for the formation energy: 0.065 eV/atom. As for the space group: R-3m, No. 166.

Lattice parameters (Å, degrees): 5.9804 5.9804 11.3038 74.66 74.66 60.00
Fractional positions:
Mg (0.7207, 0.7207, 0.8379)
Mg (0.2793, 0.2793, 0.1621)
Mg (0.2246, 0.7249, 0.3255)
Mg (0.7249, 0.2246, 0.3255)
Mg (0.7249, 0.7249, 0.3255)
Mg (0.2751, 0.7754, 0.6745)
Mg (0.7754, 0.2751, 0.6745)
Mg (0.2751, 0.2751, 0.6745)
Tl (0.0000, 0.0000, 0.0000)
Tl (0.8119, 0.8119, 0.5642)
Tl (0.1881, 0.1881, 0.4358)
Cd (0.6336, 0.6336, 0.0993)
Cd (0.3664, 0.3664, 0.9007)


[10]
The following is a DFT calculation (PBE) of an optimized crystal structure of ErSi2Pt.

The formation energy without anion corrections comes out at -0.978 eV per atom. As for the space group: Immm, No. 71.

Lattice parameters (Å, degrees): 4.2349 8.4716 9.2777 117.17 103.19 90.00
Fractional positions:
Er (0.7007, 0.7007, 0.4014)
Er (0.5000, 0.2624, 0.0000)
Er (0.5000, 0.7376, 0.0000)
Er (0.2993, 0.2993, 0.5986)
Si (0.9274, 0.4274, 0.8548)
Si (0.7002, 0.3483, 0.4005)
Si (0.7002, 0.0522, 0.4005)
Si (0.2998, 0.6517, 0.5995)
Si (0.0724, 0.0724, 0.1447)
Si (0.0726, 0.5726, 0.1452)
Si (0.9276, 0.9276, 0.8553)
Si (0.2998, 0.9478, 0.5995)
Pt (0.8517, 0.6044, 0.7034)
Pt (0.1483, 0.3956, 0.2966)
Pt (0.1483, 0.9009, 0.2966)
Pt (0.8517, 0.0991, 0.7034)


[11]
The following is a DFT calculation (PBE) of an optimized crystal structure of Ho10Tl3Sb3.

The formation energy without anion corrections comes out at -0.624 eV per atom. As for the space group: P-62m, No. 189.

Lattice parameters (Å, degrees): 6.5271 8.9176 8.9176 120.00 90.00 90.00
Fractional positions:
Ho (0.2480, 0.6667, 0.3333)
Ho (0.2480, 0.3333, 0.6667)
Ho (0.7520, 0.3333, 0.6667)
Ho (0.7520, 0.6667, 0.3333)
Ho (0.5000, 0.0000, 0.7627)
Ho (0.5000, 0.7627, 0.0000)
Ho (0.5000, 0.2373, 0.2373)
Ho (0.0000, 0.0000, 0.2365)
Ho (0.0000, 0.2365, 0.0000)
Ho (0.0000, 0.7635, 0.7635)
Tl (0.0000, 0.0000, 0.6051)
Tl (0.0000, 0.6051, 0.0000)
Tl (0.0000, 0.3949, 0.3949)
Sb (0.5000, 0.0000, 0.3945)
Sb (0.5000, 0.3945, 0.0000)
Sb (0.5000, 0.6055, 0.6055)


[12]
The following is a DFT calculation (PBE) of an optimized crystal structure of CeHoSnAu.

As for the formation energy: -0.627 eV/atom. As for the space group: F-43m, No. 216.

Lattice parameters (Å, degrees): 5.2901 5.2901 5.2901 60.00 60.00 60.00
Fractional positions:
Au (0.2500, 0.2500, 0.2500)
Ho (0.0000, 0.0000, 0.0000)
Ce (0.5000, 0.5000, 0.5000)
Sn (0.7500, 0.7500, 0.7500)


In order of appearance, density of states at the Fermi level = 1.38; 1.16; 1.56; 1.64; 0.50; 2.03; 1.51; 0.98; 0.47; 0.26; 0.76; 2.55 states/eV per atom.